No. 1
DFT (GGA-PBEsol) results for an optimized crystal structure of NdS2.

Space group   No. 227
ΔE_f (raw)   -0.36 eV/atom

abc: 5.477 5.477 5.477
angles: 60.00 60.00 60.00
Positions (direct):
Nd1 0.000 0.000 0.000
Nd2 0.250 0.250 0.250
S1 0.125 0.625 0.625
S2 0.625 0.625 0.625
S3 0.625 0.625 0.125
S4 0.625 0.125 0.625


No. 2
DFT (GGA-PBEsol) results for an optimized crystal structure of TlICl3.

Space group   No. 221
ΔE_f (raw)   -0.19 eV/atom

abc: 5.256 5.256 5.256
angles: 90.00 90.00 90.00
Site moments in Bohr magnetons follow the coordinates.
Positions (direct):
I1 0.500 0.500 0.500  0.73
Tl1 0.000 0.000 0.000  0.00
Cl1 0.000 0.500 0.000  0.09
Cl2 0.000 0.000 0.500  0.09
Cl3 0.500 0.000 0.000  0.09


No. 3
DFT (GGA-PBEsol) results for an optimized crystal structure of SrHfSCl2.

Space group   No. 123
ΔE_f (raw)   -1.42 eV/atom

abc: 4.898 4.898 4.928
angles: 90.00 90.00 90.00
Positions (direct):
Sr1 0.500 0.500 0.500
S1 0.000 0.000 0.500
Hf1 0.000 0.000 0.000
Cl1 0.000 0.500 0.000
Cl2 0.500 0.000 0.000


No. 4
DFT (GGA-PBEsol) results for an optimized crystal structure of YGe3S.

Space group   No. 221
ΔE_f (raw)   0.09 eV/atom

abc: 4.799 4.799 4.799
angles: 90.00 90.00 90.00
Positions (direct):
Y1 0.500 0.500 0.500
Ge1 0.000 0.500 0.000
Ge2 0.000 0.000 0.500
Ge3 0.500 0.000 0.000
S1 0.000 0.000 0.000


No. 5
DFT (GGA-PBEsol) results for an optimized crystal structure of La2InSi.

Space group   No. 99
ΔE_f (raw)   -0.17 eV/atom

abc: 3.500 3.500 8.880
angles: 90.00 90.00 90.07
Positions (direct):
In1 0.500 0.500 0.303
La1 0.000 0.000 0.048
La2 0.500 0.500 0.686
Si1 0.000 0.000 0.463


No. 6
DFT (GGA-PBEsol) results for an optimized crystal structure of HfMgO3.

Space group   No. 221
ΔE_f (raw)   -2.66 eV/atom

abc: 4.035 4.035 4.035
angles: 90.00 90.00 90.00
Positions (direct):
Mg1 0.500 0.500 0.500
Hf1 0.000 0.000 0.000
O1 0.000 0.500 0.000
O2 0.000 0.000 0.500
O3 0.500 0.000 0.000


No. 7
DFT (GGA-PBEsol) results for an optimized crystal structure of BaInSe2.

Space group   No. 216
ΔE_f (raw)   -0.59 eV/atom

abc: 5.364 5.364 5.364
angles: 60.00 60.00 60.00
Positions (direct):
Ba1 0.500 0.500 0.500
In1 0.250 0.250 0.250
Se1 0.000 0.000 0.000
Se2 0.750 0.750 0.750


No. 8
DFT (GGA-PBEsol) results for an optimized crystal structure of LiSb3.

Space group   No. 65
ΔE_f (raw)   -0.05 eV/atom
Offset from the most stable computed form   42 kJ/mol of formula units

abc: 3.175 3.175 9.350
angles: 90.00 90.00 97.81
Positions (direct):
Sb1 0.500 0.500 0.788
Sb2 0.000 0.000 0.500
Sb3 0.500 0.500 0.212
Li1 0.000 0.000 0.000


No. 9
DFT (GGA-PBEsol) results for an optimized crystal structure of Cs3AgRu.

Space group   No. 221

abc: 6.594 6.594 6.594
angles: 90.00 90.00 90.00
Site moments in Bohr magnetons follow the coordinates.
Positions (direct):
Cs1 0.000 0.500 0.000  -0.01
Cs2 0.000 0.000 0.500  -0.01
Cs3 0.500 0.000 0.000  -0.01
Ru1 0.500 0.500 0.500  2.13
Ag1 0.000 0.000 0.000  -0.01


No. 10
DFT (GGA-PBEsol) results for an optimized crystal structure of PtAu3.

Space group   No. 71

abc: 2.825 4.836 5.596
angles: 115.60 104.62 90.00
Positions (direct):
Au1 0.754 0.754 0.508
Au2 0.000 0.500 0.000
Au3 0.246 0.246 0.492
Pt1 0.500 0.000 0.000


No. 11
DFT (GGA-PBEsol) results for an optimized crystal structure of Li5Cu4.

Space group   No. 193
Offset from the most stable computed form   53 kJ/mol of formula units

abc: 5.035 7.325 7.325
angles: 120.00 90.00 90.00
Positions (direct):
Cu1 0.000 0.000 0.000
Cu2 0.500 0.000 0.000
Cu3 0.750 0.000 0.304
Cu4 0.750 0.304 0.000
Cu5 0.750 0.696 0.696
Cu6 0.250 0.000 0.696
Cu7 0.250 0.696 0.000
Cu8 0.250 0.304 0.304
Li1 0.750 0.000 0.655
Li2 0.750 0.655 0.000
Li3 0.750 0.345 0.345
Li4 0.250 0.000 0.345
Li5 0.250 0.345 0.000
Li6 0.250 0.655 0.655
Li7 0.000 0.333 0.667
Li8 0.500 0.667 0.333
Li9 0.000 0.667 0.333
Li10 0.500 0.333 0.667


No. 12
DFT (GGA-PBEsol) results for an optimized crystal structure of Mn2TlIn.

Space group   No. 216
Offset from the most stable computed form   104 kJ/mol of formula units

abc: 4.704 4.704 4.704
angles: 60.00 60.00 60.00
Site moments in Bohr magnetons follow the coordinates.
Positions (direct):
In1 0.500 0.500 0.500  -0.03
Mn1 0.000 0.000 0.000  3.43
Mn2 0.750 0.750 0.750  3.34
Tl1 0.250 0.250 0.250  0.00


No. 13
DFT (GGA-PBEsol) results for an optimized crystal structure of ScSiN2.

Space group   No. 166
ΔE_f (raw)   -0.53 eV/atom

abc: 2.943 2.943 6.168
angles: 76.20 76.20 60.00
Positions (direct):
Sc1 0.000 0.000 0.000
Si1 0.500 0.500 0.500
N1 0.885 0.885 0.344
N2 0.115 0.115 0.656


No. 14
DFT (GGA-PBEsol) results for an optimized crystal structure of Mg2Al3VS8.

Space group   No. 166
ΔE_f (raw)   -1.15 eV/atom

abc: 7.174 7.174 7.187
angles: 60.06 60.06 60.00
Site moments in Bohr magnetons follow the coordinates.
Positions (direct):
Mg1 0.625 0.625 0.124  0.00
Mg2 0.375 0.375 0.876  0.00
Al1 0.500 0.000 0.500  0.01
Al2 0.000 0.000 0.500  0.01
Al3 0.000 0.500 0.500  0.01
V1 0.000 0.000 0.000  1.77
S1 0.214 0.762 0.262  -0.02
S2 0.238 0.238 0.738  -0.02
S3 0.238 0.238 0.286  0.01
S4 0.238 0.786 0.738  -0.02
S5 0.762 0.762 0.714  0.01
S6 0.762 0.214 0.262  -0.02
S7 0.786 0.238 0.738  -0.02
S8 0.762 0.762 0.262  -0.02


No. 15
DFT (GGA-PBEsol) results for an optimized crystal structure of TePtPb.

Space group   No. 44
ΔE_f (raw)   -0.04 eV/atom
Offset from the most stable computed form   90 kJ/mol of formula units

abc: 3.182 3.631 6.592
angles: 105.99 103.97 90.00
Positions (direct):
Pb1 0.025 0.025 0.051
Pt1 0.679 0.679 0.357
Te1 0.296 0.296 0.592


No. 16
DFT (GGA-PBEsol) results for an optimized crystal structure of SbMoPb2.

Space group   No. 10
ΔE_f (raw)   0.68 eV/atom

abc: 3.648 5.080 5.428
angles: 90.00 100.41 90.00
Site moments in Bohr magnetons follow the coordinates.
Positions (direct):
Mo1 0.500 0.500 0.500  0.08
Pb1 0.816 0.000 0.731  0.00
Pb2 0.184 0.000 0.269  0.00
Sb1 0.500 0.500 0.000  0.00


No. 17
DFT (GGA-PBEsol) results for an optimized crystal structure of Bi6Te10Pb.

Space group   No. 166
ΔE_f (raw)   -0.24 eV/atom

abc: 4.400 4.400 34.111
angles: 86.30 86.30 60.00
Positions (direct):
Bi1 0.705 0.705 0.884
Bi2 0.295 0.295 0.116
Bi3 0.764 0.764 0.707
Bi4 0.236 0.236 0.293
Bi5 0.530 0.530 0.411
Bi6 0.470 0.470 0.589
Te1 0.648 0.648 0.057
Te2 0.352 0.352 0.943
Te3 0.945 0.945 0.166
Te4 0.055 0.055 0.834
Te5 0.586 0.586 0.243
Te6 0.414 0.414 0.757
Te7 0.883 0.883 0.352
Te8 0.117 0.117 0.648
Te9 0.821 0.821 0.538
Te10 0.179 0.179 0.462
Pb1 0.000 0.000 0.000


No. 18
DFT (GGA-PBEsol) results for an optimized crystal structure of Sr3HOs.

Space group   No. 221

abc: 5.700 5.700 5.700
angles: 90.00 90.00 90.00
Site moments in Bohr magnetons follow the coordinates.
Positions (direct):
Sr1 0.000 0.500 0.000  0.01
Sr2 0.000 0.000 0.500  0.01
Sr3 0.500 0.000 0.000  0.01
Os1 0.000 0.000 0.000  0.11
H1 0.500 0.500 0.500  0.00


No. 19
DFT (GGA-PBEsol) results for an optimized crystal structure of ZnSbOs2.

Space group   No. 225
ΔE_f (raw)   0.36 eV/atom
Offset from the most stable computed form   0 kJ/mol of formula units

abc: 4.393 4.393 4.393
angles: 60.00 60.00 60.00
Positions (direct):
Os1 0.250 0.250 0.250
Os2 0.750 0.750 0.750
Sb1 0.500 0.500 0.500
Zn1 0.000 0.000 0.000


No. 20
DFT (GGA-PBEsol) results for an optimized crystal structure of BaNiIr2.

Space group   No. 123

abc: 3.009 3.009 7.794
angles: 90.00 90.00 90.00
Positions (direct):
Ba1 0.500 0.500 0.500
Ir1 0.000 0.000 0.825
Ir2 0.000 0.000 0.175
Ni1 0.500 0.500 0.000


No. 21
DFT (GGA-PBEsol) results for an optimized crystal structure of Fe3Mo6RhN2.

Space group   No. 4
ΔE_f (raw)   -0.29 eV/atom

abc: 6.643 6.641 6.651
angles: 90.00 89.57 90.00
Site moments in Bohr magnetons follow the coordinates.
Positions (direct):
Fe1 0.319 0.819 0.567  1.95
Fe2 0.681 0.319 0.433  1.95
Fe3 0.435 0.068 0.325  1.94
Fe4 0.924 0.429 0.190  2.08
Fe5 0.565 0.568 0.675  1.94
Fe6 0.076 0.929 0.810  2.08
Mo1 0.951 0.623 0.543  -0.04
Mo2 0.049 0.123 0.457  -0.04
Mo3 0.452 0.875 0.951  -0.02
Mo4 0.548 0.375 0.049  -0.02
Mo5 0.381 0.206 0.700  -0.02
Mo6 0.872 0.297 0.798  -0.04
Mo7 0.128 0.797 0.202  -0.04
Mo8 0.619 0.706 0.300  -0.02
Mo9 0.794 0.050 0.129  -0.04
Mo10 0.704 0.952 0.624  -0.03
Mo11 0.206 0.550 0.871  -0.04
Mo12 0.296 0.452 0.376  -0.03
Rh1 0.816 0.683 0.934  0.17
Rh2 0.184 0.183 0.066  0.17
N1 0.125 0.373 0.627  0.01
N2 0.875 0.873 0.373  0.01
N3 0.626 0.123 0.878  0.01
N4 0.374 0.623 0.122  0.01


No. 22
DFT (GGA-PBEsol) results for an optimized crystal structure of HfNbTeN2.

Space group   No. 123
ΔE_f (raw)   0.54 eV/atom

abc: 4.113 4.113 5.585
angles: 90.00 90.00 90.00
Site moments in Bohr magnetons follow the coordinates.
Positions (direct):
Nb1 0.500 0.500 0.500  1.92
Te1 0.000 0.000 0.500  -0.05
Hf1 0.000 0.000 0.000  -0.01
N1 0.000 0.500 0.000  -0.35
N2 0.500 0.000 0.000  -0.35


No. 23
DFT (GGA-PBEsol) results for an optimized crystal structure of LiCa2Ga2.

Space group   No. 139
Offset from the most stable computed form   76 kJ/mol of formula units

abc: 5.663 5.663 5.663
angles: 93.65 117.92 117.92
Positions (direct):
Ca1 0.500 0.750 0.250
Ca2 0.500 0.250 0.750
Ga1 0.000 0.654 0.654
Ga2 0.000 0.346 0.346
Li1 0.000 0.000 0.000


No. 24
DFT (GGA-PBEsol) results for an optimized crystal structure of Zn2Ag.

Space group   No. 12

abc: 2.849 5.248 6.358
angles: 104.50 90.00 105.75
Positions (direct):
Zn1 0.647 0.293 0.531
Zn2 0.308 0.616 0.865
Zn3 0.692 0.384 0.135
Zn4 0.353 0.707 0.469
Ag1 0.028 0.056 0.794
Ag2 0.972 0.944 0.206


No. 25
DFT (GGA-PBEsol) results for an optimized crystal structure of BaFeSnOs2.

Space group   No. 123

abc: 4.547 4.547 5.179
angles: 90.00 90.00 90.00
Positions (direct):
Fe1 0.000 0.000 0.000
Os1 0.000 0.500 0.000
Os2 0.500 0.000 0.000
Ba1 0.000 0.000 0.500
Sn1 0.500 0.500 0.500


No. 26
DFT (GGA-PBEsol) results for an optimized crystal structure of ReNiP2.

Space group   No. 8
Offset from the most stable computed form   0 kJ/mol of formula units

abc: 3.066 4.213 4.419
angles: 103.92 90.00 111.34
Positions (direct):
Ni1 0.731 0.461 0.131
P1 0.011 0.021 0.121
P2 0.246 0.493 0.712
Re1 0.512 0.025 0.537


No. 27
DFT (GGA-PBEsol) results for an optimized crystal structure of SrMnCd.

Space group   No. 187
Offset from the most stable computed form   0 kJ/mol of formula units

abc: 4.801 4.801 3.986
angles: 90.00 90.00 120.00
Site moments in Bohr magnetons follow the coordinates.
Positions (direct):
Cd1 0.000 0.000 0.833  -0.05
Mn1 0.333 0.667 0.833  3.84
Sr1 0.667 0.333 0.333  -0.05


| no. | ρ (g/cm3) | VASP energy (eV per cell) |
| --- | --- | --- |
| 1 | 5.96 | -30.05 |
| 2 | 5.01 | -11.39 |
| 3 | 5.18 | -27.86 |
| 4 | 5.09 | -25.55 |
| 5 | 6.42 | -20.09 |
| 6 | 6.34 | -41.25 |
| 7 | 6.24 | -15.21 |
| 8 | 6.62 | -15.85 |
| 9 | 3.52 | -10.08 |
| 10 | 19.72 | -18.55 |
| 11 | 4.10 | -52.68 |
| 12 | 9.68 | -22.27 |
| 13 | 3.77 | -31.51 |
| 14 | 2.77 | -76.53 |
| 15 | 12.42 | -14.59 |
| 16 | 10.61 | -21.62 |
| 17 | 7.97 | -69.06 |
| 18 | 4.07 | -17.32 |
| 19 | 15.72 | -29.13 |
| 20 | 13.66 | -25.97 |
| 21 | 9.89 | -252.26 |
| 22 | 7.50 | -39.20 |
| 23 | 2.85 | -13.79 |
| 24 | 8.97 | -13.27 |
| 25 | 10.74 | -33.17 |
| 26 | 9.92 | -32.02 |
| 27 | 5.32 | -11.81 |